(1)
Material: SrEr4Ga3O12
Method: DFT, PBE-GGA
State: optimized geometry

## Properties
M_tot = 0.053 μB/atom
DFT total energy = -7.040 eV per atom
calculated volume = 13.4 Å³ per atom
space group = Im-3, No. 204

Cell lengths 7.0385, 7.0385, 7.0385 Å; angles 109.47, 109.47, 109.47 degrees
Closest atoms and distances in Å follow each position.
Sites, in units of the cell vectors:
Sr: 0.0000 0.0000 0.0000  12 O 2.93
Er: 0.0000 0.0000 0.5000  6 O 2.24
Er: 0.0000 0.5000 0.0000  6 O 2.24
Er: 0.5000 0.0000 0.0000  6 O 2.24
Er: 0.5000 0.5000 0.5000  6 O 2.24
Ga: 0.0000 0.5000 0.5000  4 O 1.93
Ga: 0.5000 0.0000 0.5000  4 O 1.93
Ga: 0.5000 0.5000 0.0000  4 O 1.93
O: 0.1588 0.3233 0.4821  1 Ga 1.93
O: 0.1588 0.6767 0.8354  1 Ga 1.93
O: 0.1646 0.8412 0.3233  1 Ga 1.93
O: 0.3233 0.1646 0.8412  1 Ga 1.93
O: 0.3233 0.4821 0.1588  1 Ga 1.93
O: 0.4821 0.1588 0.3233  1 Ga 1.93
O: 0.5179 0.8412 0.6767  1 Ga 1.93
O: 0.6767 0.5179 0.8412  1 Ga 1.93
O: 0.6767 0.8354 0.1588  1 Ga 1.93
O: 0.8354 0.1588 0.6767  1 Ga 1.93
O: 0.8412 0.3233 0.1646  1 Ga 1.93
O: 0.8412 0.6767 0.5179  1 Ga 1.93

(2)
Material: TlPbS2N
Method: DFT, PBE-GGA
State: optimized geometry

## Properties
M_tot = 0.405 μB/atom
DFT total energy = -3.704 eV per atom
calculated volume = 26.2 Å³ per atom
space group = P4/mmm, No. 123

Cell lengths 5.4103, 5.4103, 4.4669 Å; angles 90.00, 90.00, 90.00 degrees
Closest atoms and distances in Å follow each position.
Sites, in units of the cell vectors:
Tl: 0.0000 0.0000 0.0000  2 N 2.23
Pb: 0.5000 0.5000 0.5000  8 S 3.51, 4 N 3.83
S: 0.0000 0.5000 0.0000  2 Tl 2.71
S: 0.5000 0.0000 0.0000  2 Tl 2.71
N: 0.0000 0.0000 0.5000  2 Tl 2.23

(3)
Material: Tl12Ag3Sb5
Method: DFT, PBE-GGA
State: optimized geometry

## Properties
M_tot = 0.000 μB/atom
DFT total energy = -2.712 eV per atom
calculated volume = 34.3 Å³ per atom
space group = Ia-3d, No. 230

Cell lengths 15.2724, 15.2724, 15.2724 Å; angles 109.47, 109.47, 109.47 degrees
Closest atoms and distances in Å follow each position.
Sites, in units of the cell vectors:
Tl: 0.0604 0.6261 0.3878  1 Ag 2.90, 2 Sb 2.97-3.09
Tl: 0.0604 0.9343 0.6726  1 Ag 2.90, 2 Sb 2.97-3.09
Tl: 0.0657 0.2383 0.1261  1 Ag 2.90, 2 Sb 2.97-3.09
Tl: 0.0657 0.3274 0.9396  1 Ag 2.90, 2 Sb 2.97-3.09
Tl: 0.1122 0.7383 0.6726  1 Ag 2.90, 2 Sb 2.97-3.09
Tl: 0.1122 0.8739 0.4396  1 Ag 2.90, 2 Sb 2.97-3.09
Tl: 0.1261 0.0657 0.2383  1 Ag 2.90, 2 Sb 2.97-3.09
Tl: 0.1261 0.5604 0.8878  1 Ag 2.90, 2 Sb 2.97-3.09
Tl: 0.1726 0.2383 0.6122  1 Ag 2.90, 2 Sb 2.97-3.09
Tl: 0.1726 0.4343 0.5604  1 Ag 2.90, 2 Sb 2.97-3.09
Tl: 0.2383 0.1261 0.0657  1 Ag 2.90, 2 Sb 2.97-3.09
Tl: 0.2383 0.6122 0.1726  1 Ag 2.90, 2 Sb 2.97-3.09
Tl: 0.2617 0.3274 0.8878  1 Ag 2.90, 2 Sb 2.97-3.09
Tl: 0.2617 0.4343 0.3739  1 Ag 2.90, 2 Sb 2.97-3.09
Tl: 0.3274 0.8878 0.2617  1 Ag 2.90, 2 Sb 2.97-3.09
Tl: 0.3274 0.9396 0.0657  1 Ag 2.90, 2 Sb 2.97-3.09
Tl: 0.3739 0.2617 0.4343  1 Ag 2.90, 2 Sb 2.97-3.09
Tl: 0.3739 0.6122 0.9396  1 Ag 2.90, 2 Sb 2.97-3.09
Tl: 0.3878 0.0604 0.6261  1 Ag 2.90, 2 Sb 2.97-3.09
Tl: 0.3878 0.8274 0.7617  1 Ag 2.90, 2 Sb 2.97-3.09
Tl: 0.4343 0.3739 0.2617  1 Ag 2.90, 2 Sb 2.97-3.09
Tl: 0.4343 0.5604 0.1726  1 Ag 2.90, 2 Sb 2.97-3.09
Tl: 0.4396 0.1122 0.8739  1 Ag 2.90, 2 Sb 2.97-3.09
Tl: 0.4396 0.8274 0.5657  1 Ag 2.90, 2 Sb 2.97-3.09
Tl: 0.5604 0.1726 0.4343  1 Ag 2.90, 2 Sb 2.97-3.09
Tl: 0.5604 0.8878 0.1261  1 Ag 2.90, 2 Sb 2.97-3.09
Tl: 0.5657 0.4396 0.8274  1 Ag 2.90, 2 Sb 2.97-3.09
Tl: 0.5657 0.6261 0.7383  1 Ag 2.90, 2 Sb 2.97-3.09
Tl: 0.6122 0.1726 0.2383  1 Ag 2.90, 2 Sb 2.97-3.09
Tl: 0.6122 0.9396 0.3739  1 Ag 2.90, 2 Sb 2.97-3.09
Tl: 0.6261 0.3878 0.0604  1 Ag 2.90, 2 Sb 2.97-3.09
Tl: 0.6261 0.7383 0.5657  1 Ag 2.90, 2 Sb 2.97-3.09
Tl: 0.6726 0.0604 0.9343  1 Ag 2.90, 2 Sb 2.97-3.09
Tl: 0.6726 0.1122 0.7383  1 Ag 2.90, 2 Sb 2.97-3.09
Tl: 0.7383 0.5657 0.6261  1 Ag 2.90, 2 Sb 2.97-3.09
Tl: 0.7383 0.6726 0.1122  1 Ag 2.90, 2 Sb 2.97-3.09
Tl: 0.7617 0.3878 0.8274  1 Ag 2.90, 2 Sb 2.97-3.09
Tl: 0.7617 0.8739 0.9343  1 Ag 2.90, 2 Sb 2.97-3.09
Tl: 0.8274 0.5657 0.4396  1 Ag 2.90, 2 Sb 2.97-3.09
Tl: 0.8274 0.7617 0.3878  1 Ag 2.90, 2 Sb 2.97-3.09
Tl: 0.8739 0.4396 0.1122  1 Ag 2.90, 2 Sb 2.97-3.09
Tl: 0.8739 0.9343 0.7617  1 Ag 2.90, 2 Sb 2.97-3.09
Tl: 0.8878 0.1261 0.5604  1 Ag 2.90, 2 Sb 2.97-3.09
Tl: 0.8878 0.2617 0.3274  1 Ag 2.90, 2 Sb 2.97-3.09
Tl: 0.9343 0.6726 0.0604  1 Ag 2.90, 2 Sb 2.97-3.09
Tl: 0.9343 0.7617 0.8739  1 Ag 2.90, 2 Sb 2.97-3.09
Tl: 0.9396 0.0657 0.3274  1 Ag 2.90, 2 Sb 2.97-3.09
Tl: 0.9396 0.3739 0.6122  1 Ag 2.90, 2 Sb 2.97-3.09
Ag: 0.1250 0.2500 0.3750  4 Tl 2.90
Ag: 0.1250 0.3750 0.7500  4 Tl 2.90
Ag: 0.2500 0.3750 0.1250  4 Tl 2.90
Ag: 0.2500 0.8750 0.6250  4 Tl 2.90
Ag: 0.3750 0.1250 0.2500  4 Tl 2.90
Ag: 0.3750 0.7500 0.1250  4 Tl 2.90
Ag: 0.6250 0.2500 0.8750  4 Tl 2.90
Ag: 0.6250 0.8750 0.7500  4 Tl 2.90
Ag: 0.7500 0.1250 0.3750  4 Tl 2.90
Ag: 0.7500 0.6250 0.8750  4 Tl 2.90
Ag: 0.8750 0.6250 0.2500  4 Tl 2.90
Ag: 0.8750 0.7500 0.6250  4 Tl 2.90
Sb: 0.0000 0.0000 0.0000  6 Tl 3.09
Sb: 0.0000 0.0000 0.5000  6 Tl 3.09
Sb: 0.0000 0.5000 0.0000  6 Tl 3.09
Sb: 0.0000 0.5000 0.5000  6 Tl 3.09
Sb: 0.1250 0.7500 0.8750  4 Tl 2.97
Sb: 0.1250 0.8750 0.2500  4 Tl 2.97
Sb: 0.2500 0.1250 0.8750  4 Tl 2.97
Sb: 0.2500 0.6250 0.3750  4 Tl 2.97
Sb: 0.3750 0.2500 0.6250  4 Tl 2.97
Sb: 0.3750 0.6250 0.7500  4 Tl 2.97
Sb: 0.5000 0.0000 0.0000  6 Tl 3.09
Sb: 0.5000 0.0000 0.5000  6 Tl 3.09
Sb: 0.5000 0.5000 0.0000  6 Tl 3.09
Sb: 0.5000 0.5000 0.5000  6 Tl 3.09
Sb: 0.6250 0.3750 0.2500  4 Tl 2.97
Sb: 0.6250 0.7500 0.3750  4 Tl 2.97
Sb: 0.7500 0.3750 0.6250  4 Tl 2.97
Sb: 0.7500 0.8750 0.1250  4 Tl 2.97
Sb: 0.8750 0.1250 0.7500  4 Tl 2.97
Sb: 0.8750 0.2500 0.1250  4 Tl 2.97

(4)
Material: Nd3Sb2I2
Method: DFT, PBE-GGA
State: optimized geometry

## Properties
M_tot = 0.000 μB/atom
DFT total energy = -4.822 eV per atom
calculated volume = 37.2 Å³ per atom
space group = C2/m, No. 12

Cell lengths 7.7575, 7.7575, 7.9580 Å; angles 99.23, 99.23, 33.50 degrees
Closest atoms and distances in Å follow each position.
Sites, in units of the cell vectors:
Nd: 0.0000 0.0000 0.0000  4 Sb 3.15, 2 I 3.28
Nd: 0.2484 0.2484 0.7772  3 Sb 3.10-3.16, 3 I 3.31-3.37
Nd: 0.7516 0.7516 0.2228  3 Sb 3.10-3.16, 3 I 3.31-3.37
Sb: 0.3802 0.3802 0.1333  5 Nd 3.10-3.16
Sb: 0.6198 0.6198 0.8667  5 Nd 3.10-3.16
I: 0.1248 0.1248 0.3820  4 Nd 3.28-3.37
I: 0.8752 0.8752 0.6180  4 Nd 3.28-3.37